Record 1
# Na2SrUTe4, relaxed, DFT PBE
# Density (g/cm³): 5.364
# Total magnetization (μB/f.u.): 2.00
# Calculated volume (Å³ per cell): 1092.2
# Uncorrected formation energy (meV per atom): -1012
data_Na2SrUTe4
_cell_length_a 9.009
_cell_length_b 9.044
_cell_length_c 13.405
_cell_angle_alpha 90.00
_cell_angle_beta 90.00
_cell_angle_gamma 90.00
_symmetry_space_group_name_H-M 'F 2 2 2'
_symmetry_Int_Tables_number 22
_symmetry_space_group_name_Hall 'F 2 2'
loop_
_atom_site_label
_atom_site_fract_x
_atom_site_fract_y
_atom_site_fract_z
_atom_site_occupancy
Na1 0.000 0.000 0.000 1
Na2 0.250 0.250 0.250 1
Sr1 0.250 0.250 0.750 1
U1 0.000 0.000 0.500 1
Te1 0.000 0.000 0.276 1
Te2 0.250 0.250 0.501 1

---

Record 2
# ZnP2Ru2, relaxed, DFT PBE
# Density (g/cm³): 7.936
# Total magnetization (μB/f.u.): 0.00
# Energy relative to the elements (eV per atom): -0.108
# Calculated volume (Å³ per cell): 137.9
data_ZnP2Ru2
_cell_length_a 6.985
_cell_length_b 6.985
_cell_length_c 2.826
_cell_angle_alpha 90.00
_cell_angle_beta 90.00
_cell_angle_gamma 90.00
_symmetry_space_group_name_H-M 'P 4/m b m'
_symmetry_Int_Tables_number 127
_symmetry_space_group_name_Hall '-P 4 2ab'
loop_
_atom_site_label
_atom_site_fract_x
_atom_site_fract_y
_atom_site_fract_z
_atom_site_occupancy
Zn1 0.000 0.000 0.000 1
P1 0.144 0.356 0.000 1
Ru1 0.148 0.648 0.500 1

---

Record 3
# CeGeP2Rh5, relaxed, DFT PBE
# Density (g/cm³): 8.262
# Total magnetization (μB/f.u.): 0.81
# Energy relative to the elements (eV per atom): -0.772
# Calculated volume (Å³ per cell): 158.6
data_CeGeP2Rh5
_cell_length_a 4.028
_cell_length_b 4.028
_cell_length_c 9.775
_cell_angle_alpha 90.00
_cell_angle_beta 90.00
_cell_angle_gamma 90.00
_symmetry_space_group_name_H-M 'P 4/m m m'
_symmetry_Int_Tables_number 123
_symmetry_space_group_name_Hall '-P 4 2'
loop_
_atom_site_label
_atom_site_fract_x
_atom_site_fract_y
_atom_site_fract_z
_atom_site_occupancy
Ce1 0.000 0.000 0.000 1
Ge1 0.000 0.000 0.500 1
P1 0.500 0.500 0.233 1
Rh1 0.000 0.500 0.343 1
Rh2 0.500 0.500 0.000 1

---

Record 4
# Pa2TlSe, relaxed, DFT PBE
# Density (g/cm³): 11.529
# Total magnetization (μB/f.u.): 0.00
# Calculated volume (Å³ per cell): 322.1
# Uncorrected formation energy (meV per atom): -308
data_Pa2TlSe
_cell_length_a 4.3681
_cell_length_b 4.3681
_cell_length_c 19.4919
_cell_angle_alpha 90.00
_cell_angle_beta 90.00
_cell_angle_gamma 120.00
_symmetry_space_group_name_H-M 'R -3 m'
_symmetry_Int_Tables_number 166
_symmetry_space_group_name_Hall '-R 3 2"'
loop_
_atom_site_label
_atom_site_fract_x
_atom_site_fract_y
_atom_site_fract_z
_atom_site_occupancy
Pa1 0.0000 0.0000 0.2388 1
Tl1 0.0000 0.0000 0.0000 1
Se1 0.0000 0.0000 0.5000 1